First-principles (PBE) data for a relaxed structure of MoOs5, as listed in the Alexandria database.

Unit cell a=5.0616 b=5.0616 c=4.4115 alpha=90.00 beta=90.00 gamma=120.00
Closest atoms and distances in Å follow each position.
Space group P6/mmm (No. 191)
One atom of each set of equivalent atoms:
Mo 0.0000 0.0000 0.0000 x1  6 Os 2.92
Os 0.0000 0.5000 0.5000 x3  8 Os 2.53-2.65
Os 0.3333 0.6667 0.0000 x2  9 Os 2.65-2.92, 3 Mo 2.92

mass density: 17.8 g/cm3
calculated formation energy: 0.8364 eV per atom
magnetization: 0.0810 μB per atom
N(E_F): 9.82 states/eV/f.u.
VASP energy: -62.0 eV per cell
relative energy among the computed polymorphs: 867 meV/atom


First-principles (PBE) data for a relaxed structure of Mn2GeHN, as listed in the Alexandria database.

Unit cell a=3.1373 b=3.1373 c=18.9979 alpha=90.00 beta=90.00 gamma=120.00
Closest atoms and distances in Å follow each position.
Space group R3m (No. 160, hexagonal axes)
One atom of each set of equivalent atoms:
Mn 0.0000 0.0000 0.0000 x3  3 H 1.83, 1 N 1.97
Mn 0.0000 0.0000 0.4405 x3  1 H 1.77, 3 N 1.81
Ge 0.0000 0.0000 0.5698 x3  4 Mn 2.46-2.58
H 0.0000 0.0000 0.3471 x3  4 Mn 1.77-1.83
N 0.0000 0.0000 0.1038 x3  4 Mn 1.81-1.97

mass density: 6.1 g/cm3
magnetization: 0.6087 μB per atom
N(E_F): 1.45 states/eV/f.u.
VASP energy: -105.4 eV per cell
relative energy among the computed polymorphs: 0 meV/atom


First-principles (PBE) data for a relaxed structure of Ac2AuS, as listed in the Alexandria database.

Unit cell a=4.2928 b=4.2928 c=23.9810 alpha=90.00 beta=90.00 gamma=120.00
Closest atoms and distances in Å follow each position.
Space group R3m (No. 160, hexagonal axes)
One atom of each set of equivalent atoms:
Ac 0.0000 0.0000 0.0000 x3  3 Au 3.16, 3 S 3.17
Ac 0.0000 0.0000 0.1685 x3  3 Au 3.18, 3 S 3.22
Au 0.0000 0.0000 0.5850 x3  6 Ac 3.16-3.18
S 0.0000 0.0000 0.4159 x3  6 Ac 3.17-3.22

E_form (uncorrected): -1.235 eV/atom
mass density: 8.9 g/cm3
magnetization: 0.0000 μB per atom
N(E_F): 3.52 states/eV/f.u.
VASP energy: -61.7 eV per cell
relative energy among the computed polymorphs: 88 meV/atom


First-principles (PBE) data for a relaxed structure of CsSiTe3, as listed in the Alexandria database.

Unit cell a=8.1830 b=14.3977 c=7.3983 alpha=90.00 beta=104.72 gamma=90.00
Closest atoms and distances in Å follow each position.
Space group P2_1/c (No. 14)
One atom of each set of equivalent atoms:
Cs 0.2479 0.0618 0.2098 x4  10 Te 4.01-4.40
Si 0.2804 0.7185 0.3260 x4  4 Te 2.50-2.58
Te 0.0232 0.6862 0.8211 x4  1 Si 2.50
Te 0.2142 0.5585 0.1970 x4  1 Si 2.50
Te 0.4774 0.6988 0.6557 x4  2 Si 2.57-2.58

E_form (uncorrected): -0.382 eV/atom
mass density: 4.3 g/cm3
magnetization: 0.2014 μB per atom
N(E_F): 1.06 states/eV/f.u.
VASP energy: -70.5 eV per cell


First-principles (PBE) data for a relaxed structure of Li2Zn2Cu5Si, as listed in the Alexandria database.

Unit cell a=10.1180 b=10.1180 c=2.8290 alpha=90.00 beta=90.00 gamma=90.00
Closest atoms and distances in Å follow each position.
Space group P4/mbm (No. 127)
One atom of each set of equivalent atoms:
Li 0.1691 0.3309 0.0000 x4  1 Zn 2.75, 6 Cu 2.80-3.00, 2 Li 2.83
Zn 0.1384 0.6384 0.0000 x4  6 Cu 2.43-2.46
Cu 0.0000 0.5000 0.5000 x2  4 Zn 2.43
Cu 0.0477 0.8155 0.5000 x8  2 Si 2.39, 2 Zn 2.46
Si 0.0000 0.0000 0.0000 x2  8 Cu 2.39

E_form (uncorrected): -0.021 eV/atom
mass density: 5.6 g/cm3
magnetization: 0.0000 μB per atom
N(E_F): 2.55 states/eV/f.u.
VASP energy: -65.0 eV per cell


First-principles (PBE) data for a relaxed structure of SmY, as listed in the Alexandria database.

Unit cell a=5.7423 b=3.6738 c=6.3515 alpha=90.00 beta=90.00 gamma=90.00
Closest atoms and distances in Å follow each position.
Space group Pmma (No. 51)
One atom of each set of equivalent atoms:
Sm 0.2500 0.0000 0.1664 x2  4 Sm 3.57-3.67, 8 Y 3.57-3.67
Y 0.2500 0.5000 0.6657 x2  4 Y 3.56-3.67, 8 Sm 3.57-3.67

mass density: 5.9 g/cm3
calculated formation energy: 0.0156 eV per atom
magnetization: 0.0001 μB per atom
N(E_F): 3.48 states/eV/f.u.
VASP energy: -22.3 eV per cell
relative energy among the computed polymorphs: 0 meV/atom


First-principles (PBE) data for a relaxed structure of K5Al, as listed in the Alexandria database.

Unit cell a=15.1816 b=4.5838 c=10.8244 alpha=90.00 beta=112.81 gamma=90.00
Closest atoms and distances in Å follow each position.
Space group Cm (No. 8)
One atom of each set of equivalent atoms:
K 0.0000 0.0000 0.0000 x2  2 Al 3.64
K 0.0269 0.0000 0.4002 x2  2 Al 3.79, 2 K 4.08-4.19
K 0.2079 0.5000 0.8504 x2  2 Al 3.79, 2 K 4.09-4.20
K 0.2355 0.5000 0.2514 x2  2 Al 3.64
K 0.3676 0.0000 0.6259 x2  12 K 4.40-4.79
Al 0.3674 0.0000 0.1251 x2  8 K 3.64-3.79

mass density: 1.1 g/cm3
calculated formation energy: 0.1883 eV per atom
magnetization: 0.0744 μB per atom
N(E_F): 5.04 states/eV/f.u.
VASP energy: -16.2 eV per cell
relative energy among the computed polymorphs: 0 meV/atom


First-principles (PBE) data for a relaxed structure of LiNdSm2Hg4, as listed in the Alexandria database.

Unit cell a=5.2144 b=5.2144 c=26.5076 alpha=90.00 beta=90.00 gamma=120.00
Closest atoms and distances in Å follow each position.
Space group R-3m (No. 166, hexagonal axes)
One atom of each set of equivalent atoms:
Li 0.0000 0.0000 0.0000 x3  8 Hg 3.17-3.19
Nd 0.0000 0.0000 0.5000 x3  8 Hg 3.26-3.36
Sm 0.0000 0.0000 0.2563 x6  7 Hg 3.10-3.22
Hg 0.0000 0.0000 0.1197 x6  1 Li 3.17, 3 Sm 3.22, 3 Nd 3.26
Hg 0.0000 0.0000 0.3732 x6  4 Sm 3.10-3.17, 3 Li 3.19, 1 Nd 3.36

mass density: 10.0 g/cm3
calculated formation energy: -0.4448 eV per atom
magnetization: 0.0000 μB per atom
N(E_F): 7.49 states/eV/f.u.
VASP energy: -62.7 eV per cell


First-principles (PBE) data for a relaxed structure of TlCuOs2, as listed in the Alexandria database.

Unit cell a=2.8770 b=4.6762 c=4.7484 alpha=90.00 beta=90.00 gamma=90.00
Closest atoms and distances in Å follow each position.
Space group Pmmm (No. 47)
One atom of each set of equivalent atoms:
Tl 0.0000 0.0000 0.0000 x1  4 Cu 2.75, 4 Os 2.78, 2 Tl 2.88
Cu 0.5000 0.5000 0.0000 x1  4 Tl 2.75, 4 Os 2.78, 2 Cu 2.88
Os 0.0000 0.5000 0.5000 x1  6 Os 2.75-2.88, 4 Cu 2.78
Os 0.5000 0.0000 0.5000 x1  6 Os 2.75-2.88, 4 Tl 2.78

mass density: 16.9 g/cm3
calculated formation energy: 0.8647 eV per atom
magnetization: 0.0013 μB per atom
N(E_F): 4.09 states/eV/f.u.
VASP energy: -25.5 eV per cell
relative energy among the computed polymorphs: 361 meV/atom


First-principles (PBE) data for a relaxed structure of PmSmTlAg, as listed in the Alexandria database.

Unit cell a=3.7224 b=3.7224 c=7.9297 alpha=90.00 beta=90.00 gamma=90.00
Closest atoms and distances in Å follow each position.
Space group P4mm (No. 99)
One atom of each set of equivalent atoms:
Pm 0.0000 0.0000 0.0000 x1  4 Ag 3.24, 4 Tl 3.37
Sm 0.0000 0.0000 0.5293 x1  4 Ag 3.21, 4 Tl 3.36
Tl 0.5000 0.5000 0.2662 x1  4 Sm 3.36, 4 Pm 3.37, 4 Tl 3.72
Ag 0.5000 0.5000 0.7607 x1  4 Sm 3.21, 4 Pm 3.24

mass density: 9.2 g/cm3
calculated formation energy: -0.3237 eV per atom
magnetization: 0.0093 μB per atom
N(E_F): 3.95 states/eV/f.u.
VASP energy: -16.0 eV per cell


First-principles (PBE) data for a relaxed structure of B2C3, as listed in the Alexandria database.

Unit cell a=13.5916 b=2.4846 c=4.0276 alpha=90.00 beta=106.36 gamma=90.00
Closest atoms and distances in Å follow each position.
Space group Cm (No. 8)
One atom of each set of equivalent atoms:
B 0.0000 0.0000 0.0000 x2  1 C 1.51
B 0.0209 0.5000 0.3251 x2  2 C 1.56-1.68
B 0.1303 0.0000 0.8956 x2  3 C 1.61-1.64
B 0.3172 0.5000 0.8473 x2  4 C 1.65-1.78
C 0.1234 0.5000 0.6241 x2  3 B 1.56-1.64, 1 C 1.57
C 0.2197 0.0000 0.2566 x2  3 C 1.55-1.58, 1 B 1.61
C 0.2204 0.5000 0.4858 x2  3 C 1.55-1.57, 1 B 1.66
C 0.3179 0.0000 0.1194 x2  2 C 1.53-1.58, 2 B 1.65
C 0.4108 0.0000 0.4380 x2  3 C 1.50-1.53
C 0.4199 0.5000 0.6524 x2  2 C 1.50, 1 B 1.51

mass density: 2.9 g/cm3
calculated formation energy: 0.3599 eV per atom
magnetization: 0.0000 μB per atom
N(E_F): 0.27 states/eV/f.u.
VASP energy: -156.9 eV per cell
relative energy among the computed polymorphs: 124 meV/atom


First-principles (PBE) data for a relaxed structure of KTe2Au, as listed in the Alexandria database.

Unit cell a=5.2863 b=4.1522 c=6.9267 alpha=90.00 beta=96.38 gamma=90.00
Closest atoms and distances in Å follow each position.
Space group P2/m (No. 10)
One atom of each set of equivalent atoms:
K 0.0000 0.0000 0.0000 x1  8 Te 3.75-3.81, 2 Au 4.12, 2 K 4.15
Te 0.4718 0.5000 0.7494 x2  2 Au 2.72
Au 0.5000 0.0000 0.5000 x1  4 Te 2.72

E_form (uncorrected): -0.486 eV/atom
mass density: 5.4 g/cm3
magnetization: 0.0000 μB per atom
N(E_F): 1.53 states/eV/f.u.
VASP energy: -12.6 eV per cell